A crystal of LaTcMoSe2 relaxed with PBEsol. Source: Alexandria via LeMat-Bulk, functional SCAN.

```
5
Lattice="5.540 0.000 0.000 0.000 5.540 0.000 0.000 0.000 5.044" Properties=species:S:1:pos:R:3 pbc="T T T"
La 0.000 0.000 0.000
Tc 2.770 2.770 2.522
Mo 0.000 0.000 2.522
Se 0.000 2.770 0.000
Se 2.770 0.000 0.000
```

Properties
The final energy comes out at -29.228 eV per atom. The value obtained for the density of states at the Fermi level is 2.30 states/eV/f.u. As for the energy relative to the elements, uncorrected: 1413 meV/atom.

---

A crystal of Si2HgMo relaxed with PBEsol. Source: Alexandria via LeMat-Bulk, functional SCAN.

```
4
Lattice="1.520 0.877 8.291 -1.520 0.877 8.291 0.000 -1.755 8.291" Properties=species:S:1:pos:R:3 pbc="T T T"
Si 0.000 0.000 5.959
Si 0.000 0.000 18.914
Hg 0.000 0.000 0.000
Mo 0.000 0.000 12.437
```

Properties
The final energy comes out at -30.506 eV per atom. The value obtained for the density of states at the Fermi level is 1.07 states/eV/f.u. As for the energy relative to the elements, uncorrected: 265 meV/atom.

---

A crystal of AlBMo2S relaxed with PBEsol. Source: Alexandria via LeMat-Bulk, functional SCAN.

```
5
Lattice="4.341 0.000 0.000 0.000 4.341 0.000 0.000 0.000 3.705" Properties=species:S:1:pos:R:3 pbc="T T T"
Al 0.000 0.000 0.000
B 2.171 2.171 1.852
Mo 0.000 2.171 1.852
Mo 2.171 0.000 1.852
S 2.171 2.171 0.000
```

Properties
The final energy comes out at -18.179 eV per atom. The value obtained for the density of states at the Fermi level is 4.59 states/eV/f.u. As for the energy relative to the elements, uncorrected: 737 meV/atom.

---

A crystal of CaAg5 relaxed with PBEsol. Source: Alexandria via LeMat-Bulk, functional SCAN.

```
6
Lattice="4.608 -2.140 0.000 4.608 2.140 0.000 -1.746 0.000 5.575" Properties=species:S:1:pos:R:3 pbc="T T T"
Ca 0.000 0.000 0.000
Ag -0.873 0.000 2.788
Ag 1.828 0.000 3.679
Ag 2.804 0.000 1.027
Ag 4.665 0.000 4.548
Ag 5.641 0.000 1.896
```

Properties
The final energy comes out at -27.849 eV per atom. The value obtained for the density of states at the Fermi level is 2.10 states/eV/f.u.